(1)
# RbCeAu2S4, relaxed, DFT GGA-PBE
data_RbCeAu2S4
_cell_length_a 6.618
_cell_length_b 7.501
_cell_length_c 8.624
_cell_angle_alpha 90.00
_cell_angle_beta 90.00
_cell_angle_gamma 90.00
_symmetry_space_group_name_H-M 'I 2 2 2'
_symmetry_Int_Tables_number 23
loop_
_symmetry_equiv_pos_as_xyz
'x,y,z'
'-x,-y,z'
'x,-y,-z'
'-x,y,-z'
'x+1/2,y+1/2,z+1/2'
'-x+1/2,-y+1/2,z+1/2'
'x+1/2,-y+1/2,-z+1/2'
'-x+1/2,y+1/2,-z+1/2'
loop_
_atom_site_label
_atom_site_type_symbol
_atom_site_fract_x
_atom_site_fract_y
_atom_site_fract_z
Rb1 Rb 0.000 0.000 0.000
Ce1 Ce 0.000 0.000 0.500
Au1 Au 0.000 0.500 0.169
S1 S 0.223 0.200 0.315
# - N(E_F): 0.604 states/eV per atom


(2)
Rb2CeAu2S4 | GGA-PBE | relaxed

```
data_Rb2CeAu2S4
_cell_length_a 16.618
_cell_length_b 4.262
_cell_length_c 7.706
_cell_angle_alpha 90.00
_cell_angle_beta 111.84
_cell_angle_gamma 90.00
_symmetry_space_group_name_H-M 'C 1 2/m 1'
_symmetry_Int_Tables_number 12
loop_
_symmetry_equiv_pos_as_xyz
'x,y,z'
'-x,-y,-z'
'-x,y,-z'
'x,-y,z'
'x+1/2,y+1/2,z'
'-x+1/2,-y+1/2,-z'
'-x+1/2,y+1/2,-z'
'x+1/2,-y+1/2,z'
loop_
_atom_site_label
_atom_site_type_symbol
_atom_site_fract_x
_atom_site_fract_y
_atom_site_fract_z
Rb1 Rb 0.137 0.000 0.097
Ce1 Ce 0.000 0.000 0.500
Au1 Au 0.153 0.500 0.540
S1 S 0.009 0.500 0.268
S2 S 0.184 0.000 0.696
```


(3)
# RbCeSb2Au2, relaxed, DFT GGA-PBE
data_RbCeSb2Au2
_cell_length_a 4.7246
_cell_length_b 4.7246
_cell_length_c 9.5667
_cell_angle_alpha 90.00
_cell_angle_beta 90.00
_cell_angle_gamma 120.00
_symmetry_space_group_name_H-M 'P -3 m 1'
_symmetry_Int_Tables_number 164
_symmetry_space_group_name_Hall '-P 3 2"'
loop_
_atom_site_label
_atom_site_type_symbol
_atom_site_fract_x
_atom_site_fract_y
_atom_site_fract_z
Rb1 Rb 0.0000 0.0000 0.0000
Ce1 Ce 0.0000 0.0000 0.5000
Sb1 Sb 0.3333 0.6667 0.7172
Au1 Au 0.3333 0.6667 0.3185
# - N(E_F): 1.088 states/eV per atom


(4)
# RbCeAuSe2, relaxed, DFT GGA-PBE
data_RbCeAuSe2
_cell_length_a 8.052
_cell_length_b 5.148
_cell_length_c 8.259
_cell_angle_alpha 90.00
_cell_angle_beta 99.69
_cell_angle_gamma 90.00
_symmetry_space_group_name_H-M 'P 1 2/c 1'
_symmetry_Int_Tables_number 13
loop_
_symmetry_equiv_pos_as_xyz
'x,y,z'
'-x,-y,-z'
'-x,y,-z+1/2'
'x,-y,z+1/2'
loop_
_atom_site_label
_atom_site_type_symbol
_atom_site_fract_x
_atom_site_fract_y
_atom_site_fract_z
Rb1 Rb 0.000 0.146 0.250
Ce1 Ce 0.500 0.491 0.750
Au1 Au 0.500 0.000 0.000
Se1 Se 0.258 0.338 0.963
# - N(E_F): 1.673 states/eV per atom


(5)
# Rb2CeAuSe4, relaxed, DFT GGA-PBE
data_Rb2CeAuSe4
_cell_length_a 8.028
_cell_length_b 8.028
_cell_length_c 8.564
_cell_angle_alpha 90.00
_cell_angle_beta 90.00
_cell_angle_gamma 90.00
_symmetry_space_group_name_H-M 'I -4'
_symmetry_Int_Tables_number 82
loop_
_symmetry_equiv_pos_as_xyz
'x,y,z'
'y,-x,-z'
'-x,-y,z'
'-y,x,-z'
'x+1/2,y+1/2,z+1/2'
'y+1/2,-x+1/2,-z+1/2'
'-x+1/2,-y+1/2,z+1/2'
'-y+1/2,x+1/2,-z+1/2'
loop_
_atom_site_label
_atom_site_type_symbol
_atom_site_fract_x
_atom_site_fract_y
_atom_site_fract_z
Rb1 Rb 0.000 0.000 0.000
Rb2 Rb 0.000 0.500 0.250
Ce1 Ce 0.000 0.500 0.750
Au1 Au 0.000 0.000 0.500
Se1 Se 0.169 0.740 0.576
# - N(E_F): 0.608 states/eV per atom


(6)
# Rb4Ce3AuSe8, relaxed, DFT GGA-PBE
data_Rb4Ce3AuSe8
_cell_length_a 15.353
_cell_length_b 8.471
_cell_length_c 9.407
_cell_angle_alpha 90.00
_cell_angle_beta 122.17
_cell_angle_gamma 90.00
_symmetry_space_group_name_H-M 'C 1 2/m 1'
_symmetry_Int_Tables_number 12
loop_
_symmetry_equiv_pos_as_xyz
'x,y,z'
'-x,-y,-z'
'-x,y,-z'
'x,-y,z'
'x+1/2,y+1/2,z'
'-x+1/2,-y+1/2,-z'
'-x+1/2,y+1/2,-z'
'x+1/2,-y+1/2,z'
loop_
_atom_site_label
_atom_site_type_symbol
_atom_site_fract_x
_atom_site_fract_y
_atom_site_fract_z
Rb1 Rb 0.000 0.000 0.000
Rb2 Rb 0.000 0.500 0.000
Rb3 Rb 0.250 0.250 0.000
Ce1 Ce 0.000 0.000 0.500
Ce2 Ce 0.250 0.250 0.500
Au1 Au 0.000 0.500 0.500
Se1 Se 0.022 0.257 0.314
Se2 Se 0.230 0.000 0.699
Se3 Se 0.247 0.000 0.291
# - N(E_F): 1.015 states/eV per atom


Formation energy (no corrections), record by record: -0.763, -1.033, -0.678, -1.047, -0.943, -1.359 eV per atom
Magnetization, record by record: 0.0, 0.3, 0.9, 2.6, 1.2, 2.5 μB per cell